Entry 1:
CrRhBr2: relaxed, PBE.

```
data_CrRhBr2
_symmetry_space_group_name_H-M 'R -3 m'
_symmetry_Int_Tables_number 166
_symmetry_space_group_name_Hall '-R 3 2"'
_cell_length_a 4.1489
_cell_length_b 4.1489
_cell_length_c 16.4549
_cell_angle_alpha 90.00
_cell_angle_beta 90.00
_cell_angle_gamma 120.00
loop_
_atom_site_label
_atom_site_fract_x
_atom_site_fract_y
_atom_site_fract_z
Cr1 0.0000 0.0000 0.0000
Rh1 0.0000 0.0000 0.5000
Br1 0.0000 0.0000 0.2493
```

## Properties
N(E_F) in states/eV per atom: 0.45
Distance to the lowest polymorph of the same formula in meV per atom: 365.5
Total DFT energy (no corrections) in eV/cell: -57.42



Entry 2:
PHPb3: relaxed, PBE.

```
data_PHPb3
_symmetry_space_group_name_H-M 'P m -3 m'
_symmetry_Int_Tables_number 221
_symmetry_space_group_name_Hall '-P 4 2 3'
_cell_length_a 4.876
_cell_length_b 4.876
_cell_length_c 4.876
_cell_angle_alpha 90.00
_cell_angle_beta 90.00
_cell_angle_gamma 90.00
loop_
_atom_site_label
_atom_site_fract_x
_atom_site_fract_y
_atom_site_fract_z
P1 0.000 0.000 0.000
H1 0.500 0.500 0.500
Pb1 0.000 0.500 0.500
```

## Properties
N(E_F) in states/eV per atom: 0.50
Total DFT energy (no corrections) in eV/cell: -17.76



Entry 3:
Sr2NdUP4: relaxed, PBE.

```
data_Sr2NdUP4
_symmetry_space_group_name_H-M 'P 1 2/m 1'
_symmetry_Int_Tables_number 10
_cell_length_a 7.234
_cell_length_b 4.200
_cell_length_c 7.359
_cell_angle_alpha 90.00
_cell_angle_beta 109.06
_cell_angle_gamma 90.00
loop_
_symmetry_equiv_pos_as_xyz
'x,y,z'
'-x,-y,-z'
'-x,y,-z'
'x,-y,z'
loop_
_atom_site_label
_atom_site_fract_x
_atom_site_fract_y
_atom_site_fract_z
Sr1 0.000 0.000 0.000
Sr2 0.500 0.500 0.000
Nd1 0.000 0.500 0.500
U1 0.500 0.000 0.500
P1 0.260 0.000 0.720
P2 0.277 0.500 0.287
```

## Properties
N(E_F) in states/eV per atom: 0.65
Total DFT energy (no corrections) in eV/cell: -50.36



Entry 4:
HfFe3Au: relaxed, PBE.

```
data_HfFe3Au
_symmetry_space_group_name_H-M 'P m -3 m'
_symmetry_Int_Tables_number 221
_symmetry_space_group_name_Hall '-P 4 2 3'
_cell_length_a 4.680
_cell_length_b 4.680
_cell_length_c 4.680
_cell_angle_alpha 90.00
_cell_angle_beta 90.00
_cell_angle_gamma 90.00
loop_
_atom_site_label
_atom_site_fract_x
_atom_site_fract_y
_atom_site_fract_z
Hf1 0.000 0.000 0.000
Fe1 0.000 0.500 0.500
Au1 0.500 0.500 0.500
```

## Properties
N(E_F) in states/eV per atom: 1.20
Distance to the lowest polymorph of the same formula in meV per atom: 0.0
Total DFT energy (no corrections) in eV/cell: -32.55



Entry 5:
Ac2ScCu2O6: relaxed, PBE.

```
data_Ac2ScCu2O6
_symmetry_space_group_name_H-M 'R -3 m'
_symmetry_Int_Tables_number 166
_symmetry_space_group_name_Hall '-R 3 2"'
_cell_length_a 5.9361
_cell_length_b 5.9361
_cell_length_c 15.8798
_cell_angle_alpha 90.00
_cell_angle_beta 90.00
_cell_angle_gamma 120.00
loop_
_atom_site_label
_atom_site_fract_x
_atom_site_fract_y
_atom_site_fract_z
Ac1 0.0000 0.0000 0.2151
Sc1 0.0000 0.0000 0.0000
Cu1 0.0000 0.0000 0.4190
O1 0.0331 0.5165 0.7568
```

## Properties
N(E_F) in states/eV per atom: 0.65
Total DFT energy (no corrections) in eV/cell: -232.35



Entry 6:
Zn2InPt: relaxed, PBE.

```
data_Zn2InPt
_symmetry_space_group_name_H-M 'R 3 m'
_symmetry_Int_Tables_number 160
_symmetry_space_group_name_Hall 'R 3 -2"'
_cell_length_a 3.0692
_cell_length_b 3.0692
_cell_length_c 25.8212
_cell_angle_alpha 90.00
_cell_angle_beta 90.00
_cell_angle_gamma 120.00
loop_
_atom_site_label
_atom_site_fract_x
_atom_site_fract_y
_atom_site_fract_z
Zn1 0.0000 0.0000 0.0000
Zn2 0.0000 0.0000 0.2535
In1 0.0000 0.0000 0.7567
Pt1 0.0000 0.0000 0.5110
```

## Properties
N(E_F) in states/eV per atom: 0.35
Total DFT energy (no corrections) in eV/cell: -35.00



Entry 7:
Pm2Nd2InGa4: relaxed, PBE.

```
data_Pm2Nd2InGa4
_symmetry_space_group_name_H-M 'I 4/m m m'
_symmetry_Int_Tables_number 139
_symmetry_space_group_name_Hall '-I 4 2'
_cell_length_a 7.218
_cell_length_b 7.218
_cell_length_c 9.342
_cell_angle_alpha 90.00
_cell_angle_beta 90.00
_cell_angle_gamma 90.00
loop_
_atom_site_label
_atom_site_fract_x
_atom_site_fract_y
_atom_site_fract_z
Pm1 0.000 0.000 0.185
Nd1 0.000 0.500 0.250
In1 0.000 0.000 0.500
Ga1 0.242 0.242 0.000
```

## Properties
N(E_F) in states/eV per atom: 0.93
Total DFT energy (no corrections) in eV/cell: -71.54